Record 1
A relaxed structure of Ga2CoPb, computed with PBE.

Properties
- size of the total moment (μB/f.u.) = 1.00
- energy (eV for the cell shown) = -60.70

a b c (Å): 6.6595 6.6595 6.6595
angles (deg): 90.00 90.00 90.00
Closest atoms and distances in Å follow each position.
Space group F-43m (No. 216)
Inequivalent atoms, fractional coordinates:
Ga  0.0000  0.0000  0.0000  4 Ga 2.88, 4 Co 2.88
Ga  0.2500  0.2500  0.2500  4 Pb 2.88, 4 Ga 2.88
Co  0.2500  0.2500  0.7500  4 Pb 2.88, 4 Ga 2.88
Pb  0.0000  0.0000  0.5000  4 Co 2.88, 4 Ga 2.88


Record 2
A relaxed structure of Ga2CoPd, computed with PBE.

Properties
- size of the total moment (μB/f.u.) = 0.99
- energy (eV for the cell shown) = -74.67

a b c (Å): 6.0634 6.0634 6.0634
angles (deg): 90.00 90.00 90.00
Closest atoms and distances in Å follow each position.
Space group F-43m (No. 216)
Inequivalent atoms, fractional coordinates:
Ga  0.0000  0.0000  0.0000  4 Co 2.63, 4 Ga 2.63
Ga  0.2500  0.2500  0.2500  4 Pd 2.63, 4 Ga 2.63
Co  0.2500  0.2500  0.7500  4 Pd 2.63, 4 Ga 2.63
Pd  0.0000  0.0000  0.5000  4 Co 2.63, 4 Ga 2.63


Record 3
A relaxed structure of GaCoPd2, computed with PBE.

Properties
- size of the total moment (μB/f.u.) = 1.52
- energy (eV for the cell shown) = -84.84

a b c (Å): 6.0718 6.0718 6.0718
angles (deg): 90.00 90.00 90.00
Closest atoms and distances in Å follow each position.
Space group F-43m (No. 216)
Inequivalent atoms, fractional coordinates:
Ga  0.0000  0.0000  0.0000  4 Co 2.63, 4 Pd 2.63
Co  0.2500  0.2500  0.2500  4 Pd 2.63, 4 Ga 2.63
Pd  0.0000  0.0000  0.5000  4 Co 2.63, 4 Pd 2.63
Pd  0.2500  0.2500  0.7500  4 Pd 2.63, 4 Ga 2.63


Record 4
A relaxed structure of Sc2Ga4CoPd, computed with PBE.

Properties
- size of the total moment (μB/f.u.) = 0.01
- energy (eV for the cell shown) = -84.22

a b c (Å): 6.5726 4.1384 9.6839
angles (deg): 90.00 90.00 90.00
Closest atoms and distances in Å follow each position.
Space group Amm2 (No. 38)
Inequivalent atoms, fractional coordinates:
Sc  0.0000  0.0000  0.0000  3 Co 2.70-2.98, 4 Ga 2.87
Sc  0.5000  0.0000  0.1548  3 Pd 2.77-2.93, 6 Ga 2.94-3.08
Ga  0.1930  0.0000  0.7081  2 Co 2.52, 2 Ga 2.54-2.68, 1 Pd 2.55
Ga  0.2898  0.0000  0.4394  1 Co 2.46, 2 Pd 2.58, 1 Ga 2.68
Co  0.0000  0.0000  0.2790  6 Ga 2.46-2.52, 1 Sc 2.70
Pd  0.5000  0.0000  0.8690  6 Ga 2.55-2.58, 1 Sc 2.77


Record 5
A relaxed structure of TaGaCoPd, computed with PBE.

Properties
- size of the total moment (μB/f.u.) = 0.75
- energy above the lowest structure with this stoichiometry (eV/f.u.) = 0.81

a b c (Å): 6.1867 6.1867 6.1867
angles (deg): 90.00 90.00 90.00
Closest atoms and distances in Å follow each position.
Space group F-43m (No. 216)
Inequivalent atoms, fractional coordinates:
Ta  0.0000  0.0000  0.0000  4 Pd 2.68, 4 Ga 2.68
Ga  0.2500  0.2500  0.2500  4 Ta 2.68, 4 Co 2.68
Co  0.0000  0.0000  0.5000  4 Ga 2.68, 4 Pd 2.68
Pd  0.2500  0.2500  0.7500  4 Ta 2.68, 4 Co 2.68


Record 6
A relaxed structure of GaCoPdW, computed with PBE.

Properties
- size of the total moment (μB/f.u.) = 0.22
- energy above the lowest structure with this stoichiometry (eV/f.u.) = 0.00

a b c (Å): 6.1004 6.1004 6.1004
angles (deg): 90.00 90.00 90.00
Closest atoms and distances in Å follow each position.
Space group F-43m (No. 216)
Inequivalent atoms, fractional coordinates:
Ga  0.0000  0.0000  0.0000  4 Pd 2.64, 4 Co 2.64
Co  0.2500  0.2500  0.2500  4 W 2.64, 4 Ga 2.64
Pd  0.2500  0.2500  0.7500  4 W 2.64, 4 Ga 2.64
W  0.0000  0.0000  0.5000  4 Co 2.64, 4 Pd 2.64


Record 7
A relaxed structure of GaCoPdW, computed with PBE.

Properties
- size of the total moment (μB/f.u.) = 0.28
- energy above the lowest structure with this stoichiometry (eV/f.u.) = 0.28

a b c (Å): 6.0896 6.0896 6.0896
angles (deg): 90.00 90.00 90.00
Closest atoms and distances in Å follow each position.
Space group F-43m (No. 216)
Inequivalent atoms, fractional coordinates:
Ga  0.0000  0.0000  0.0000  4 W 2.64, 4 Co 2.64
Co  0.2500  0.2500  0.2500  4 Pd 2.64, 4 Ga 2.64
Pd  0.0000  0.0000  0.5000  4 W 2.64, 4 Co 2.64
W  0.2500  0.2500  0.7500  4 Pd 2.64, 4 Ga 2.64


Record 8
A relaxed structure of YGaCoPd, computed with PBE.

Properties
- size of the total moment (μB/f.u.) = 1.52
- energy above the lowest structure with this stoichiometry (eV/f.u.) = 0.78

a b c (Å): 6.5628 6.5628 6.5628
angles (deg): 90.00 90.00 90.00
Closest atoms and distances in Å follow each position.
Space group F-43m (No. 216)
Inequivalent atoms, fractional coordinates:
Y  0.0000  0.0000  0.0000  4 Pd 2.84, 4 Ga 2.84
Ga  0.2500  0.2500  0.2500  4 Y 2.84, 4 Co 2.84
Co  0.0000  0.0000  0.5000  4 Ga 2.84, 4 Pd 2.84
Pd  0.2500  0.2500  0.7500  4 Co 2.84, 4 Y 2.84